Entry 1:
Here is PmMgSi after structural relaxation from Alexandria. Energies are from GGA-PBE.

```
6
Lattice="4.258 0.000 0.000 0.000 4.258 0.000 0.000 0.000 7.582" Properties=species:S:1:pos:R:3 pbc="T T T"
Pm 1.064 1.064 1.117
Pm 3.193 3.193 6.465
Mg 1.064 3.193 3.791
Mg 3.193 1.064 3.791
Si 1.064 1.064 5.610
Si 3.193 3.193 1.972
```

The energy comes out at -26.495 eV for the cell shown. The value obtained for the uncorrected formation energy is -493 meV per atom. Its crystal system is tetragonal.


Entry 2:
Here is Tl3SbRh2O6 after structural relaxation from Alexandria. Energies are from GGA-PBE.

```
12
Lattice="2.783 -4.826 0.000 2.783 4.826 0.000 -1.823 0.000 7.135" Properties=species:S:1:pos:R:3 pbc="T T T"
Tl 0.000 0.000 0.000
Tl 2.783 1.621 0.000
Tl 2.783 -1.621 0.000
Sb 1.871 0.000 3.568
Rh 1.871 3.216 3.568
Rh 1.871 -3.216 3.568
O 0.934 1.627 2.572
O -0.005 0.000 4.566
O 0.934 -1.627 2.572
O 2.809 1.627 4.563
O 3.747 0.000 2.570
O 2.809 -1.627 4.563
```

The energy comes out at -64.614 eV for the cell shown. The value obtained for the uncorrected formation energy is -745 meV per atom. Its crystal system is monoclinic.